No. 1
DFT (GGA-PBEsol) results for Ta2OsPt after structural relaxation.

Lattice parameters (Å, degrees): 2.871 4.799 4.799 107.13 90.00 90.00
Fractional coordinates of all 4 atoms:
Ta 0.000 0.500 0.000
Ta 0.000 0.000 0.500
Os 0.500 0.000 0.000
Pt 0.500 0.500 0.500

ΔE_f = -416 meV per atom
Space group = Cmmm (65)

No. 2
DFT (GGA-PBEsol) results for CuNiRh after structural relaxation.

Lattice parameters (Å, degrees): 2.606 3.551 4.442 113.56 107.06 90.00
Fractional coordinates of all 3 atoms:
Rh 0.331 0.331 0.663
Ni 0.666 0.666 0.331
Cu 0.003 0.003 0.006

Relative energy among the computed polymorphs = 0.0192 eV/atom
ΔE_f = 93 meV per atom
Space group = Imm2 (44)

No. 3
DFT (GGA-PBEsol) results for Mn3Cr4 after structural relaxation.

Lattice parameters (Å, degrees): 2.783 2.783 9.951 98.04 98.04 90.00
Fractional coordinates of all 7 atoms:
Cr 0.428 0.428 0.855
Cr 0.857 0.857 0.714
Cr 0.143 0.143 0.286
Cr 0.572 0.572 0.145
Mn 0.712 0.712 0.425
Mn 0.000 0.000 0.000
Mn 0.288 0.288 0.575

ΔE_f = 65 meV per atom
Space group = I4/mmm (139)